# 1
The following is a DFT calculation (PBE-GGA) of a relaxed structure of Sm3Tm3MgTe8.

Lattice parameters (Å, degrees): 8.6818 8.6818 21.5716 90.00 90.00 120.00
Space group R-3m (No. 166, hexagonal axes)
Inequivalent atoms, fractional coordinates:
Sm  0.0000  0.5000  0.0000 x9
Tm  0.0000  0.5000  0.5000 x9
Mg  0.0000  0.0000  0.5000 x3
Te  0.0000  0.0000  0.2462 x6
Te  0.0002  0.5001  0.2461 x18

Values from the calculation:
The energy relative to the elements, uncorrected comes out at -1277 meV/atom.



# 2
The following is a DFT calculation (PBE-GGA) of a relaxed structure of MoIrBr2N.

Lattice parameters (Å, degrees): 5.2599 5.2599 3.7517 90.00 90.00 90.00
Space group P4/mmm (No. 123)
Inequivalent atoms, fractional coordinates:
Mo  0.0000  0.0000  0.0000 x1
Ir  0.5000  0.5000  0.5000 x1
Br  0.0000  0.5000  0.0000 x2
N  0.0000  0.0000  0.5000 x1

Values from the calculation:
The energy relative to the elements, uncorrected comes out at 1101 meV/atom.



# 3
The following is a DFT calculation (PBE-GGA) of a relaxed structure of LiCa8Hg2.

Lattice parameters (Å, degrees): 5.1728 9.4507 15.2903 90.00 90.00 90.00
Space group Immm (No. 71)
Inequivalent atoms, fractional coordinates:
Li  0.0000  0.0000  0.0000 x2
Ca  0.0000  0.1783  0.5000 x4
Ca  0.0000  0.2902  0.1653 x8
Ca  0.0000  0.5000  0.3644 x4
Hg  0.0000  0.0000  0.3003 x4

Values from the calculation:
Its energy of formation from the pure elements is -0.155 eV per atom.



# 4
The following is a DFT calculation (PBE-GGA) of a relaxed structure of SrScCl2.

Lattice parameters (Å, degrees): 3.5301 3.5301 11.5998 90.00 90.00 90.00
Space group P4/mmm (No. 123)
Inequivalent atoms, fractional coordinates:
Sr  0.0000  0.0000  0.0000 x1
Sc  0.0000  0.0000  0.5000 x1
Cl  0.5000  0.5000  0.1417 x2

Values from the calculation:
The energy relative to the elements, uncorrected comes out at -1099 meV/atom.